(1)
Density functional theory data (PBE) for a relaxed Mg2Be2GaRh5 crystal.

```
data_Mg2Be2GaRh5
_chemical_formula_sum 'Mg4 Be4 Ga2 Rh10'
_cell_length_a 9.4492
_cell_length_b 9.4492
_cell_length_c 3.0342
_cell_angle_alpha 90.00
_cell_angle_beta 90.00
_cell_angle_gamma 90.00
_symmetry_space_group_name_H-M 'P 4/m b m'
_symmetry_Int_Tables_number 127
_symmetry_space_group_name_Hall '-P 4 2ab'
loop_
_atom_site_label
_atom_site_type_symbol
_atom_site_fract_x
_atom_site_fract_y
_atom_site_fract_z
_atom_site_occupancy
Mg1 Mg 0.1742 0.3258 0.0000 1
Be1 Be 0.1252 0.6252 0.0000 1
Ga1 Ga 0.0000 0.0000 0.0000 1
Rh1 Rh 0.0000 0.5000 0.5000 1
Rh2 Rh 0.0705 0.7926 0.5000 1
```

Calculated values
M_tot = 0.000 μB per atom
ρ = 7.98 Mg/m³

***

(2)
Density functional theory data (PBE) for a relaxed PmIr6 crystal.

```
data_PmIr6
_chemical_formula_sum 'Pm2 Ir12'
_cell_length_a 6.8208
_cell_length_b 6.8208
_cell_length_c 6.8208
_cell_angle_alpha 90.00
_cell_angle_beta 90.00
_cell_angle_gamma 90.00
_symmetry_space_group_name_H-M 'I m -3 m'
_symmetry_Int_Tables_number 229
_symmetry_space_group_name_Hall '-I 4 2 3'
loop_
_atom_site_label
_atom_site_type_symbol
_atom_site_fract_x
_atom_site_fract_y
_atom_site_fract_z
_atom_site_occupancy
Pm1 Pm 0.0000 0.0000 0.0000 1
Ir1 Ir 0.0000 0.2500 0.5000 1
```

Calculated values
M_tot = 0.000 μB per atom
ρ = 13.59 Mg/m³

***

We obtain DFT formation energy values of -0.596; 0.356 eV per atom for the records listed above, in that order.